9
Lattice="-2.0875 -0.1117 -3.4448 5.1144 -5.8445 -2.9096 -5.4606 -2.9245 5.7605" Properties=species:S:1:pos:R:3 comment="Rb2HoCd2S4 (GGA-PBE, optimized geometry)" final_energy_ev_per_atom=-3.889 dos_at_fermi_per_ev_cell=3.0 pbc="T T T"
Cd 0.9129 -7.5937 -0.3069
Cd -3.3467 -1.2870 -0.2870
Ho 0.0000 0.0000 0.0000
S 2.6950 -4.8100 -3.8338
S -1.2495 -2.3530 0.8335
S -5.1287 -4.0707 3.2399
S -1.1842 -6.5278 -1.4274
Rb -3.6404 -4.8832 0.0077
Rb 1.2067 -3.9975 -0.6016